# 1
VASP calculation (PBE) on crystalline LiSc2AgO at its relaxed geometry.

a b c (Å): 4.390 4.390 4.096
angles (deg): 90.00 90.00 90.00
Positions (direct):
Sc: 0.000 0.500 0.000
Sc: 0.500 0.000 0.000
O: 0.000 0.000 0.000
Ag: 0.500 0.500 0.500
Li: 0.000 0.000 0.500

Results
- space group = No. 123
- uncorrected formation energy (eV per atom) = -1.261
- total moment (μB/f.u.) = 0.0

=====

# 2
VASP calculation (PBE) on crystalline LiScAg2O at its relaxed geometry.

a b c (Å): 4.736 3.674 4.736
angles (deg): 90.00 90.00 90.00
Positions (direct):
O: 0.000 0.500 0.000
Sc: 0.500 0.500 0.500
Ag: 0.500 0.000 0.000
Ag: 0.000 0.000 0.500
Li: 0.000 0.000 0.000

Results
- space group = No. 123
- uncorrected formation energy (eV per atom) = -0.170
- total moment (μB/f.u.) = 0.0

=====

# 3
VASP calculation (PBE) on crystalline Li2AgSeO4 at its relaxed geometry.

a b c (Å): 7.559 7.920 5.910
angles (deg): 120.12 111.52 109.25
Last column: magnetic moment on the atom in μB.
Positions (direct):
Ag: 0.006 0.612 0.604  0.33
Li: 0.537 0.991 0.021  0.00
Li: 0.484 0.033 0.539  0.00
O: 0.707 0.331 0.513  0.06
Li: 0.064 0.962 0.428  0.00
Se: 0.525 0.420 0.548  0.00
O: 0.752 0.111 0.915  0.06
Se: 0.924 0.018 0.862  0.00
O: 0.322 0.735 0.049  0.46
Li: 0.478 0.573 0.026  0.00
O: 0.229 0.842 0.584  0.32
O: 0.723 0.710 0.464  0.05
O: 0.723 0.716 0.960  0.01
O: 0.384 0.246 0.610  0.01
Ag: 0.106 0.524 0.116  0.30
O: 0.038 0.175 0.760  0.04

Results
- space group = No. 1
- uncorrected formation energy (eV per atom) = -1.063
- total moment (μB/f.u.) = 0.9

=====

# 4
VASP calculation (PBE) on crystalline Li3AgSe4O12 at its relaxed geometry.

a b c (Å): 6.783 6.783 6.783
angles (deg): 105.56 105.56 105.56
Positions (direct):
Li: 0.568 0.432 0.000
O: 0.500 0.347 0.653
O: 0.654 0.771 0.988
O: 0.229 0.346 0.012
O: 0.653 0.500 0.347
O: 0.347 0.653 0.500
Se: 0.500 0.500 0.500
Li: 0.432 0.000 0.568
Ag: 0.000 0.000 0.000
O: 0.771 0.988 0.654
O: 0.988 0.654 0.771
O: 0.084 0.916 0.500
O: 0.916 0.500 0.084
Se: 0.071 0.500 0.929
Se: 0.500 0.929 0.071
O: 0.500 0.084 0.916
O: 0.346 0.012 0.229
Li: 0.000 0.568 0.432
O: 0.012 0.229 0.346
Se: 0.929 0.071 0.500

Results
- space group = No. 155
- uncorrected formation energy (eV per atom) = -0.626
- total moment (μB/f.u.) = 0.0

=====

# 5
VASP calculation (PBE) on crystalline LiAg2SeO at its relaxed geometry.

a b c (Å): 4.970 4.970 4.811
angles (deg): 90.00 90.00 90.00
Last column: magnetic moment on the atom in μB.
Positions (direct):
Ag: 0.500 0.000 0.000  -0.01
Ag: 0.000 0.500 0.000  -0.01
O: 0.500 0.500 0.500  -0.79
Li: 0.000 0.000 0.500  0.00
Se: 0.000 0.000 0.000  -0.01

Results
- E above lowest polymorph (meV per atom) = 245
- space group = No. 123
- uncorrected formation energy (eV per atom) = 0.151
- total moment (μB/f.u.) = 1.0

=====

# 6
VASP calculation (PBE) on crystalline LiAg2SeO at its relaxed geometry.

a b c (Å): 4.957 4.957 3.313
angles (deg): 90.00 90.00 90.00
Positions (direct):
O: 0.000 0.000 0.500
Ag: 0.500 0.000 0.000
Se: 0.500 0.500 0.500
Ag: 0.000 0.500 0.000
Li: 0.000 0.000 0.000

Results
- E above lowest polymorph (meV per atom) = 0
- space group = No. 123
- uncorrected formation energy (eV per atom) = -0.095
- total moment (μB/f.u.) = 0.0